# 1
First-principles (PBE) data for an optimized crystal structure of ScVFeRe, as listed in Alexandria via LeMat-Bulk.

Its calculated formation energy is -63 meV/atom.

The space group is F-43m (No. 216) and the conventional cell measures 6.138, 6.138 and 6.138 Å, with angles of 90.00, 90.00 and 90.00 degrees. Symmetry generates all atoms from Sc at (0.000, 0.000, 0.000), V at (0.000, 0.000, 0.500), Fe at (0.250, 0.250, 0.750) and Re at (0.250, 0.250, 0.250).

# 2
First-principles (PBE) data for an optimized crystal structure of ThGa7Fe2, as listed in Alexandria via LeMat-Bulk.

Its calculated formation energy is -93 meV/atom.

The space group is Cmmm (No. 65) and the conventional cell measures 8.581, 10.207 and 4.472 Å, with angles of 90.00, 90.00 and 90.00 degrees. Symmetry generates all atoms from Th at (0.000, 0.000, 0.000), Ga at (0.000, 0.308, 0.000), Ga at (0.000, 0.500, 0.500), Ga at (0.228, 0.128, 0.500) and Fe at (0.000, 0.266, 0.500).

# 3
First-principles (PBE) data for an optimized crystal structure of CsPuO3, as listed in Alexandria via LeMat-Bulk.

Its formation energy without anion corrections is -2.47 eV per atom.

The space group is Cmcm (No. 63) and the conventional cell measures 3.449, 13.165 and 8.286 Å, with angles of 90.00, 90.00 and 90.00 degrees. Symmetry generates all atoms from Cs at (0.000, 0.242, 0.250), Pu at (0.000, 0.500, 0.000), O at (0.000, 0.098, 0.534) and O at (0.000, 0.461, 0.750).

# 4
First-principles (PBE) data for an optimized crystal structure of CsCaZnCl5, as listed in Alexandria via LeMat-Bulk.

Its formation energy without anion corrections is -1.85 eV per atom.

The space group is C2/c (No. 15) and the conventional cell measures 9.359, 12.405 and 10.015 Å, with angles of 90.00, 114.16 and 90.00 degrees. Symmetry generates all atoms from Cs at (0.000, 0.158, 0.250), Ca at (0.000, 0.500, 0.000), Zn at (0.000, 0.190, 0.750), Cl at (0.000, 0.429, 0.250), Cl at (0.099, 0.292, 0.615) and Cl at (0.189, 0.079, 0.916).

# 5
First-principles (PBE) data for an optimized crystal structure of MgSIO2, as listed in Alexandria via LeMat-Bulk.

Its formation energy without anion corrections is 0.03 eV per atom.

The space group is P4/mmm (No. 123) and the conventional cell measures 3.952, 3.952 and 5.341 Å, with angles of 90.00, 90.00 and 90.00 degrees. Symmetry generates all atoms from Mg at (0.000, 0.000, 0.000), S at (0.500, 0.500, 0.500), I at (0.500, 0.500, 0.000) and O at (0.000, 0.500, 0.500).

# 6
First-principles (PBE) data for an optimized crystal structure of Ce2SmSe4, as listed in Alexandria via LeMat-Bulk.

Its energy above the lowest structure with this stoichiometry is 0.000 eV per atom. Its formation energy without anion corrections is -1.81 eV per atom.

The space group is Imma (No. 74) and the conventional cell measures 8.376, 8.452 and 11.754 Å, with angles of 90.00, 90.00 and 90.00 degrees. Symmetry generates all atoms from Ce at (0.000, 0.000, 0.000), Ce at (0.250, 0.250, 0.250), Sm at (0.250, 0.250, 0.750), Se at (0.000, 0.002, 0.745) and Se at (0.245, 0.250, 0.999).

# 7
First-principles (PBE) data for an optimized crystal structure of AuSe2O6, as listed in Alexandria via LeMat-Bulk.

Its energy above the lowest structure with this stoichiometry is 0.000 eV per atom. Its formation energy without anion corrections is -0.37 eV per atom.

The space group is C2/c (No. 15) and the conventional cell measures 9.790, 8.062 and 7.919 Å, with angles of 90.00, 111.96 and 90.00 degrees. Symmetry generates all atoms from Au at (0.000, 0.114, 0.250), Se at (0.184, 0.471, 0.204), O at (0.124, 0.069, 0.704), O at (0.139, 0.258, 0.176) and O at (0.148, 0.464, 0.489).

# 8
First-principles (PBE) data for an optimized crystal structure of ReTcF3, as listed in Alexandria via LeMat-Bulk.

Its energy above the lowest structure with this stoichiometry is 0.299 eV per atom. Its formation energy without anion corrections is 0.43 eV per atom.

The space group is Pm-3m (No. 221) and the conventional cell measures 4.200, 4.200 and 4.200 Å, with angles of 90.00, 90.00 and 90.00 degrees. Symmetry generates all atoms from Re at (0.000, 0.000, 0.000), Tc at (0.500, 0.500, 0.500) and F at (0.000, 0.000, 0.500).

# 9
First-principles (PBE) data for an optimized crystal structure of RbHSe2N, as listed in Alexandria via LeMat-Bulk.

Its energy above the lowest structure with this stoichiometry is 0.000 eV per atom.

The space group is P4/mmm (No. 123) and the conventional cell measures 4.136, 4.136 and 6.224 Å, with angles of 90.00, 90.00 and 90.00 degrees. Symmetry generates all atoms from Rb at (0.000, 0.000, 0.000), H at (0.500, 0.500, 0.500), Se at (0.000, 0.500, 0.500) and N at (0.500, 0.500, 0.000).

# 10
First-principles (PBE) data for an optimized crystal structure of Cr2CoMoH, as listed in Alexandria via LeMat-Bulk.

Its energy above the lowest structure with this stoichiometry is 0.000 eV per atom.

The space group is P4/mmm (No. 123) and the conventional cell measures 3.776, 3.776 and 3.597 Å, with angles of 90.00, 90.00 and 90.00 degrees. Symmetry generates all atoms from Cr at (0.000, 0.500, 0.000), Co at (0.000, 0.000, 0.500), Mo at (0.500, 0.500, 0.500) and H at (0.000, 0.000, 0.000).

Copy entry 7 word for word.
First-principles (PBE) data for an optimized crystal structure of AuSe2O6, as listed in Alexandria via LeMat-Bulk.

Its energy above the lowest structure with this stoichiometry is 0.000 eV per atom. Its formation energy without anion corrections is -0.37 eV per atom.

The space group is C2/c (No. 15) and the conventional cell measures 9.790, 8.062 and 7.919 Å, with angles of 90.00, 111.96 and 90.00 degrees. Symmetry generates all atoms from Au at (0.000, 0.114, 0.250), Se at (0.184, 0.471, 0.204), O at (0.124, 0.069, 0.704), O at (0.139, 0.258, 0.176) and O at (0.148, 0.464, 0.489).

Repeat the second record exactly.
First-principles (PBE) data for an optimized crystal structure of ThGa7Fe2, as listed in Alexandria via LeMat-Bulk.

Its calculated formation energy is -93 meV/atom.

The space group is Cmmm (No. 65) and the conventional cell measures 8.581, 10.207 and 4.472 Å, with angles of 90.00, 90.00 and 90.00 degrees. Symmetry generates all atoms from Th at (0.000, 0.000, 0.000), Ga at (0.000, 0.308, 0.000), Ga at (0.000, 0.500, 0.500), Ga at (0.228, 0.128, 0.500) and Fe at (0.000, 0.266, 0.500).